The following is a PBE-GGA calculation of an optimized crystal structure of CdBiCl2, from Alexandria via LeMat-Bulk.

Geometry as extended XYZ:
```
4
Lattice="1.7440 1.0069 10.1002 -1.7440 1.0069 10.1002 0.0000 -2.0139 10.1002" Properties=species:S:1:pos:R:3 pbc="T T T"
Cd 0.0000 0.0000 0.0000
Bi 0.0000 0.0000 15.1503
Cl 0.0000 0.0000 2.7630
Cl 0.0000 0.0000 27.5375
```

Summary:
Space group ... R-3m (166)
D(E_F) ... 2.17 states/eV/cell
E_form (uncorrected) ... -385 meV per atom
Energy relative to the lowest polymorph listed for this composition ... 173 meV per atom
Uncorrected energy ... -10.03 eV for the cell shown


The following is a PBE-GGA calculation of an optimized crystal structure of RbZn3S, from Alexandria via LeMat-Bulk.

Geometry as extended XYZ:
```
5
Lattice="5.2385 0.0000 0.0000 0.0000 5.2385 0.0000 0.0000 0.0000 5.2385" Properties=species:S:1:pos:R:3 pbc="T T T"
Rb 0.0000 0.0000 0.0000
Zn 0.0000 2.6192 2.6192
Zn 2.6192 0.0000 2.6192
Zn 2.6192 2.6192 0.0000
S 2.6192 2.6192 2.6192
```

Summary:
Space group ... Pm-3m (221)
D(E_F) ... 6.24 states/eV/cell
E_form (uncorrected) ... 303 meV per atom
Energy relative to the lowest polymorph listed for this composition ... 0 meV per atom
Uncorrected energy ... -7.40 eV for the cell shown


The following is a PBE-GGA calculation of an optimized crystal structure of NdTmPd6, from Alexandria via LeMat-Bulk.

Geometry as extended XYZ:
```
8
Lattice="4.1616 0.0000 0.0000 0.0000 4.1616 0.0000 0.0000 0.0000 8.2493" Properties=species:S:1:pos:R:3 pbc="T T T"
Nd 0.0000 0.0000 0.0000
Tm 0.0000 0.0000 4.1247
Pd 0.0000 2.0808 2.1315
Pd 0.0000 2.0808 6.1178
Pd 2.0808 0.0000 2.1315
Pd 2.0808 0.0000 6.1178
Pd 2.0808 2.0808 0.0000
Pd 2.0808 2.0808 4.1247
```

Summary:
Space group ... P4/mmm (123)
Energy relative to the elements ... -0.84 eV/atom
D(E_F) ... 5.67 states/eV/cell
Uncorrected energy ... -47.08 eV for the cell shown


The following is a PBE-GGA calculation of an optimized crystal structure of AlTcB2P, from Alexandria via LeMat-Bulk.

Geometry as extended XYZ:
```
5
Lattice="3.9865 0.0000 0.0000 0.0000 3.9865 0.0000 0.0000 0.0000 5.0409" Properties=species:S:1:pos:R:3 pbc="T T T"
Al 0.0000 0.0000 0.0000
Tc 0.0000 0.0000 2.5204
B 0.0000 1.9932 2.5204
B 1.9932 0.0000 2.5204
P 1.9932 1.9932 0.0000
```

Summary:
Space group ... P4/mmm (123)
Energy relative to the elements ... 1.15 eV/atom
D(E_F) ... 3.33 states/eV/cell
Uncorrected energy ... -27.15 eV for the cell shown


The following is a PBE-GGA calculation of an optimized crystal structure of Tb4Pr3Sm3, from Alexandria via LeMat-Bulk.

Geometry as extended XYZ:
```
10
Lattice="3.7235 0.0000 0.0000 0.0000 6.7994 6.8146 0.0000 -6.7994 6.8146" Properties=species:S:1:pos:R:3 pbc="T T T"
Tb 0.0000 0.0000 0.0000
Tb 0.0000 0.0000 3.4016
Tb 0.0000 -1.6833 8.5443
Tb 0.0000 1.6833 8.5443
Pr 1.8618 -4.4248 8.5166
Pr 1.8618 0.0000 6.1516
Pr 1.8618 4.4248 8.5166
Sm 0.0000 -3.4241 5.1060
Sm 0.0000 3.4241 5.1060
Sm 1.8618 0.0000 10.9019
```

Summary:
Space group ... Amm2 (38)
Energy relative to the elements ... 0.10 eV/atom
D(E_F) ... 9.38 states/eV/cell
Uncorrected energy ... -46.04 eV for the cell shown


The following is a PBE-GGA calculation of an optimized crystal structure of MnPdSe2, from Alexandria via LeMat-Bulk.

Geometry as extended XYZ:
```
8
Lattice="-2.8346 2.8346 5.2029 2.8346 -2.8346 5.2029 2.8346 2.8346 -5.2029" Properties=species:S:1:pos:R:3 pbc="T T T"
Mn 0.0000 0.0000 0.0000
Mn 0.0000 2.8346 2.6014
Pd 2.8346 0.0000 2.6014
Pd 0.0000 0.0000 5.2029
Se 4.2519 1.2115 -1.3007
Se 1.2115 1.4173 1.3007
Se -1.4173 1.6231 3.9022
Se 1.6231 1.4173 6.5036
```

Summary:
Space group ... I-42d (122)
D(E_F) ... 6.76 states/eV/cell
E_form (uncorrected) ... -92 meV per atom
Energy relative to the lowest polymorph listed for this composition ... 153 meV per atom
Uncorrected energy ... -43.40 eV for the cell shown


The following is a PBE-GGA calculation of an optimized crystal structure of UTcMo2, from Alexandria via LeMat-Bulk.

Geometry as extended XYZ:
```
4
Lattice="3.2949 0.0000 0.0000 0.0000 3.2949 0.0000 0.0000 0.0000 6.2491" Properties=species:S:1:pos:R:3 pbc="T T T"
U 0.0000 0.0000 0.0000
Tc 0.0000 0.0000 3.1245
Mo 1.6474 1.6474 1.5634
Mo 1.6474 1.6474 4.6857
```

Summary:
Space group ... P4/mmm (123)
Energy relative to the elements ... 0.27 eV/atom
D(E_F) ... 6.65 states/eV/cell
Energy relative to the lowest polymorph listed for this composition ... 114 meV per atom
Uncorrected energy ... -42.23 eV for the cell shown


The following is a PBE-GGA calculation of an optimized crystal structure of Er5Hf2Sc4, from Alexandria via LeMat-Bulk.

Geometry as extended XYZ:
```
11
Lattice="-1.6579 4.2682 10.7593 1.6579 -4.2682 10.7593 1.6579 4.2682 -10.7593" Properties=species:S:1:pos:R:3 pbc="T T T"
Er 0.0000 0.0000 0.0000
Er 1.6579 1.8053 -3.3108
Er 1.6579 1.8053 3.3108
Er 0.0000 2.4629 7.4485
Er 0.0000 2.4629 14.0701
Hf 1.6579 0.0000 5.8677
Hf 0.0000 4.2682 4.8916
Sc 1.6579 2.6929 0.0000
Sc 1.6579 0.0000 8.6962
Sc 0.0000 4.2682 2.0631
Sc 0.0000 1.5753 10.7593
```

Summary:
Space group ... Immm (71)
Energy relative to the elements ... 0.25 eV/atom
D(E_F) ... 14.06 states/eV/cell
Uncorrected energy ... -65.31 eV for the cell shown